Arrangement w

YTa3Pt | PBE | optimized geometry

Values from the calculation:
Spin magnetization = 0.000 μB per atom
ρ = 12.193 Mg/m³

Cell lengths 4.829, 4.829, 4.829 Å; angles 90.00, 90.00, 90.00 degrees
Fractional coordinates of all 5 atoms:
Ta 0.500 0.000 0.000
Y 0.000 0.000 0.000
Pt 0.500 0.500 0.500
Ta 0.000 0.500 0.000
Ta 0.000 0.000 0.500



Arrangement x

YTa3Pt | PBE | optimized geometry

Values from the calculation:
Spin magnetization = 0.000 μB per atom
ρ = 11.251 Mg/m³

Cell lengths 4.960, 4.960, 4.960 Å; angles 90.00, 90.00, 90.00 degrees
Fractional coordinates of all 5 atoms:
Ta 0.000 0.000 0.500
Pt 0.000 0.000 0.000
Ta 0.500 0.000 0.000
Ta 0.000 0.500 0.000
Y 0.500 0.500 0.500



It is arrangement x that is the most stable of them.



Arrangement w

TaZn2Pt | PBE | optimized geometry

Values from the calculation:
Spin magnetization = 0.000 μB per atom
ρ = 13.418 Mg/m³

Cell lengths 3.899, 3.900, 4.125 Å; angles 90.00, 90.00, 90.00 degrees
Fractional coordinates of all 4 atoms:
Zn 0.500 0.500 0.000
Zn 0.000 0.000 0.000
Ta 0.000 0.500 0.500
Pt 0.500 0.000 0.500



Arrangement x

TaZn2Pt | PBE | optimized geometry

Values from the calculation:
Spin magnetization = 0.000 μB per atom
ρ = 13.221 Mg/m³

Cell lengths 5.076, 5.076, 2.731 Å; angles 90.00, 90.00, 115.20 degrees
Fractional coordinates of all 4 atoms:
Pt 0.500 0.000 0.500
Ta 0.000 0.500 0.500
Zn 0.500 0.500 0.000
Zn 0.000 0.000 0.000



Arrangement y

TaZn2Pt | PBE | optimized geometry

Values from the calculation:
Spin magnetization = 0.000 μB per atom
ρ = 13.633 Mg/m³

Cell lengths 2.903, 2.903, 7.323 Å; angles 90.00, 90.00, 90.04 degrees
Fractional coordinates of all 4 atoms:
Zn 0.000 0.000 0.483
Pt 0.500 0.500 0.250
Zn 0.000 0.000 0.017
Ta 0.500 0.500 0.750



It is arrangement y that is the most stable of them.



Arrangement w

TaZn2Pt | PBE | optimized geometry

Values from the calculation:
Spin magnetization = 0.000 μB per atom
ρ = 13.627 Mg/m³

Cell lengths 2.881, 2.881, 7.443 Å; angles 90.00, 90.00, 90.00 degrees
Fractional coordinates of all 4 atoms:
Pt 0.000 0.000 0.489
Ta 0.500 0.500 0.753
Zn 0.000 0.000 0.011
Zn 0.500 0.500 0.247



Arrangement x

TaZn2Pt | PBE | optimized geometry

Values from the calculation:
Spin magnetization = 0.000 μB per atom
ρ = 13.366 Mg/m³

Cell lengths 2.846, 3.830, 5.778 Å; angles 90.00, 90.00, 90.00 degrees
Fractional coordinates of all 4 atoms:
Zn 0.000 0.000 0.018
Ta 0.500 0.500 0.739
Zn 0.500 0.500 0.237
Pt 0.000 0.000 0.506



It is arrangement w that is the most stable of them.



Arrangement w

Ta2ZnPt | PBE | optimized geometry

Values from the calculation:
Spin magnetization = 0.000 μB per atom
ρ = 15.424 Mg/m³

Cell lengths 9.620, 9.620, 9.620 Å; angles 17.08, 17.08, 17.08 degrees
Fractional coordinates of all 4 atoms:
Pt 0.750 0.750 0.750
Ta 0.001 0.001 0.001
Zn 0.250 0.250 0.250
Ta 0.499 0.499 0.499



Arrangement x

Ta2ZnPt | PBE | optimized geometry

Values from the calculation:
Spin magnetization = 0.000 μB per atom
ρ = 15.424 Mg/m³

Cell lengths 5.487, 5.487, 5.487 Å; angles 148.55, 128.31, 61.77 degrees
Fractional coordinates of all 4 atoms:
Ta 0.006 0.006 0.000
Pt 0.253 0.753 0.500
Zn 0.488 0.488 0.000
Ta 0.752 0.252 0.500



Arrangement y

Ta2ZnPt | PBE | optimized geometry

Values from the calculation:
Spin magnetization = 0.000 μB per atom
ρ = 15.650 Mg/m³

Cell lengths 2.844, 2.844, 8.164 Å; angles 90.00, 90.00, 90.12 degrees
Fractional coordinates of all 4 atoms:
Zn 0.000 0.000 0.516
Ta 0.000 0.000 0.982
Ta 0.500 0.500 0.262
Pt 0.500 0.500 0.739



It is arrangement y that is the most stable of them.